Entry 1:
Here is a geometry-optimized TlInBi3 structure from the Alexandria database. Energies are from PBE-GGA.

```
TlInBi3
1.0
6.756 -0.001 0.000
-0.002 7.395 0.641
0.000 0.627 6.931
Tl In Bi
2 2 6
Direct
0.468 0.416 0.747
0.969 0.936 0.154
0.123 0.809 0.723
0.622 0.544 0.178
0.305 0.249 0.265
0.482 0.921 0.969
0.000 0.508 0.439
0.806 0.104 0.637
0.982 0.432 0.933
0.501 0.845 0.462
```

Results
The symmetry is No. 1. The value obtained for the distance to the lowest polymorph of the same formula is 0.18 eV per formula unit. Its density of states at the Fermi level is 2.50 states/eV/f.u. The calculation puts the energy at -3.2945 eV per atom. The calculation puts the formation energy from the elements at 55 meV per atom.

---

Entry 2:
Here is a geometry-optimized CaMgFe2 structure from the Alexandria database. Energies are from PBE-GGA.

```
CaMgFe2
1.0
-3.770 0.077 1.757
1.566 -1.744 3.437
0.802 3.783 1.554
Ca Fe Mg
1 2 1
Direct
0.000 0.500 0.500
0.000 0.000 0.000
0.500 0.500 0.000
0.500 0.000 0.500
```

Results
The symmetry is No. 123. Its density of states at the Fermi level is 3.86 states/eV/f.u. The calculation puts the energy at -4.5731 eV per atom. The calculation puts the formation energy from the elements at 557 meV per atom.

---

Which of these has the highest formation energy from the elements?
CaMgFe2

---

Look up the energy of the second one.
-4.5731 eV per atom